# 1
Entry from OQMD: a relaxed NaNdAg3O4 crystal (GGA-PBE).

Lattice parameters (Å, degrees): 5.5804 5.5804 5.5804 90.00 90.00 90.00
With the nearest neighbours (Å) after each atom.
Sites, in units of the cell vectors:
Ag (0.5000, 0.5000, 0.0000)  4 O 2.37
Ag (0.0000, 0.5000, 0.5000)  4 O 2.37
Ag (0.5000, 0.0000, 0.5000)  4 O 2.37
Na (0.0000, 0.0000, 0.0000)  4 O 2.56
O (0.7347, 0.2653, 0.7347)  1 Nd 2.27, 3 Ag 2.37
O (0.2653, 0.2653, 0.2653)  1 Nd 2.27, 3 Ag 2.37
O (0.2653, 0.7347, 0.7347)  1 Nd 2.27, 3 Ag 2.37
O (0.7347, 0.7347, 0.2653)  1 Nd 2.27, 3 Ag 2.37
Nd (0.5000, 0.5000, 0.5000)  4 O 2.27

## Properties
Symmetry   No. 215
Electronic total energy   -4.538 eV per atom

***

# 2
Entry from OQMD: a relaxed NaNdAg3Se4 crystal (GGA-PBE).

Lattice parameters (Å, degrees): 6.4565 6.4565 6.4565 90.00 90.00 90.00
With the nearest neighbours (Å) after each atom.
Sites, in units of the cell vectors:
Nd (0.5000, 0.5000, 0.5000)  4 Se 2.77
Se (0.2526, 0.2526, 0.2526)  1 Nd 2.77, 3 Ag 2.79, 1 Na 2.82
Se (0.7474, 0.7474, 0.2526)  1 Nd 2.77, 3 Ag 2.79, 1 Na 2.82
Se (0.7474, 0.2526, 0.7474)  1 Nd 2.77, 3 Ag 2.79, 1 Na 2.82
Se (0.2526, 0.7474, 0.7474)  1 Nd 2.77, 3 Ag 2.79, 1 Na 2.82
Na (0.0000, 0.0000, 0.0000)  4 Se 2.82
Ag (0.5000, 0.5000, 0.0000)  4 Se 2.79
Ag (0.0000, 0.5000, 0.5000)  4 Se 2.79
Ag (0.5000, 0.0000, 0.5000)  4 Se 2.79

## Properties
Symmetry   No. 215
Electronic total energy   -3.788 eV per atom

***

# 3
Entry from OQMD: a relaxed NaNdAgSe3 crystal (GGA-PBE).

Lattice parameters (Å, degrees): 7.2242 7.2242 10.9928 90.00 90.00 146.59
With the nearest neighbours (Å) after each atom.
Sites, in units of the cell vectors:
Ag (0.5260, 0.4740, 0.2500)  4 Se 2.60-2.65
Ag (0.4740, 0.5260, 0.7500)  4 Se 2.60-2.65
Na (0.2393, 0.7607, 0.2500)  6 Se 3.12-3.19
Na (0.7607, 0.2393, 0.7500)  6 Se 3.12-3.19
Se (0.0928, 0.9072, 0.7500)  2 Ag 2.65
Se (0.6438, 0.3562, 0.4347)  1 Ag 2.60
Se (0.9072, 0.0928, 0.2500)  2 Ag 2.65
Se (0.3562, 0.6438, 0.9347)  1 Ag 2.60
Se (0.3562, 0.6438, 0.5653)  1 Ag 2.60
Se (0.6438, 0.3562, 0.0653)  1 Ag 2.60
Nd (0.0000, 0.0000, 0.5000)  6 Se 2.96-3.03
Nd (0.0000, 0.0000, 0.0000)  6 Se 2.96-3.03

## Properties
Symmetry   No. 63
Electronic total energy   -4.254 eV per atom

***

# 4
Entry from OQMD: a relaxed NaNdAgTe3 crystal (GGA-PBE).

Lattice parameters (Å, degrees): 7.8225 7.8225 11.5607 90.00 90.00 148.03
With the nearest neighbours (Å) after each atom.
Sites, in units of the cell vectors:
Ag (0.5280, 0.4720, 0.7500)  4 Te 2.79-2.83
Ag (0.4720, 0.5280, 0.2500)  4 Te 2.79-2.83
Na (0.2343, 0.7657, 0.7500)  6 Te 3.33-3.36
Na (0.7657, 0.2343, 0.2500)  6 Te 3.33-3.36
Te (0.6460, 0.3540, 0.5635)  1 Ag 2.79
Te (0.0939, 0.9061, 0.2500)  2 Ag 2.83
Te (0.9061, 0.0939, 0.7500)  2 Ag 2.83
Te (0.3540, 0.6460, 0.0635)  1 Ag 2.79
Te (0.3540, 0.6460, 0.4365)  1 Ag 2.79
Te (0.6460, 0.3540, 0.9365)  1 Ag 2.79
Nd (0.0000, 0.0000, 0.0000)  6 Te 3.16-3.22
Nd (0.0000, 0.0000, 0.5000)  6 Te 3.16-3.22

## Properties
Symmetry   No. 63
Electronic total energy   -3.890 eV per atom

***

# 5
Entry from OQMD: a relaxed NaNiAgS3 crystal (GGA-PBE).

Lattice parameters (Å, degrees): 9.9018 6.9485 6.9485 28.51 90.00 90.00
With the nearest neighbours (Å) after each atom.
Sites, in units of the cell vectors:
Ni (0.2500, 0.0000, 0.0000)  6 S 2.29-2.56
Ni (0.7500, 0.0000, 0.0000)  6 S 2.29-2.56
S (0.7409, 0.3876, 0.3876)  2 Ni 2.29, 1 Ag 2.39
S (0.7591, 0.6124, 0.6124)  2 Ni 2.29, 1 Ag 2.39
S (0.0000, 0.9527, 0.9527)  2 Ni 2.56, 2 Ag 2.64, 2 Na 2.82
S (0.2409, 0.6124, 0.6124)  2 Ni 2.29, 1 Ag 2.39
S (0.5000, 0.0473, 0.0473)  2 Ni 2.56, 2 Ag 2.64, 2 Na 2.82
S (0.2591, 0.3876, 0.3876)  2 Ni 2.29, 1 Ag 2.39
Ag (0.0000, 0.6016, 0.6016)  4 S 2.39-2.64
Ag (0.5000, 0.3984, 0.3984)  4 S 2.39-2.64
Na (0.0000, 0.2867, 0.2867)  4 S 2.82-2.90, 2 Ag 3.02
Na (0.5000, 0.7133, 0.7133)  4 S 2.82-2.90, 2 Ag 3.02

## Properties
Symmetry   No. 63
Electronic total energy   -3.897 eV per atom

***

# 6
Entry from OQMD: a relaxed NaNiAgSeS2 crystal (GGA-PBE).

Lattice parameters (Å, degrees): 7.3819 7.3819 9.9670 90.00 90.00 153.65
With the nearest neighbours (Å) after each atom.
Sites, in units of the cell vectors:
S (0.1072, 0.8928, 0.0108)  2 Ni 2.28, 1 Ag 2.38
S (0.8928, 0.1072, 0.9892)  2 Ni 2.28, 1 Ag 2.38
S (0.1072, 0.8928, 0.4892)  2 Ni 2.28, 1 Ag 2.38
S (0.8928, 0.1072, 0.5108)  2 Ni 2.28, 1 Ag 2.38
Ni (0.5000, 0.5000, 0.0000)  4 S 2.28
Ni (0.5000, 0.5000, 0.5000)  4 S 2.28
Ag (0.1099, 0.8901, 0.2500)  2 S 2.38
Ag (0.8901, 0.1099, 0.7500)  2 S 2.38
Se (0.4489, 0.5511, 0.2500)  2 Ni 2.60, 2 Ag 2.86
Se (0.5511, 0.4489, 0.7500)  2 Ni 2.60, 2 Ag 2.86
Na (0.2166, 0.7834, 0.7500)  2 Se 2.91, 2 Ag 3.01, 2 S 3.04
Na (0.7834, 0.2166, 0.2500)  2 Se 2.91, 2 Ag 3.01, 2 S 3.04

## Properties
Symmetry   No. 63
Electronic total energy   -3.823 eV per atom

***

# 7
Entry from OQMD: a relaxed NaNiAgSe2S crystal (GGA-PBE).

Lattice parameters (Å, degrees): 6.8292 6.8292 10.0176 90.00 90.00 149.39
With the nearest neighbours (Å) after each atom.
Sites, in units of the cell vectors:
Se (0.8759, 0.1241, 0.0082)  2 Ni 2.44, 1 Ag 2.52
Se (0.1241, 0.8759, 0.9918)  2 Ni 2.44, 1 Ag 2.52
Se (0.8759, 0.1241, 0.4918)  2 Ni 2.44, 1 Ag 2.52
Se (0.1241, 0.8759, 0.5082)  2 Ni 2.44, 1 Ag 2.52
S (0.5640, 0.4360, 0.2500)  2 Ag 2.55, 2 Ni 2.64
S (0.4360, 0.5640, 0.7500)  2 Ag 2.55, 2 Ni 2.64
Na (0.7636, 0.2364, 0.7500)  2 S 2.90, 2 Se 2.98, 2 Ag 3.09
Na (0.2364, 0.7636, 0.2500)  2 S 2.90, 2 Se 2.98, 2 Ag 3.09
Ag (0.0727, 0.9273, 0.7500)  2 Se 2.52, 2 S 2.55
Ag (0.9273, 0.0727, 0.2500)  2 Se 2.52, 2 S 2.55
Ni (0.5000, 0.5000, 0.5000)  4 Se 2.44, 2 S 2.64
Ni (0.5000, 0.5000, 0.0000)  4 Se 2.44, 2 S 2.64

## Properties
Symmetry   No. 63
Electronic total energy   -3.689 eV per atom

***

# 8
Entry from OQMD: a relaxed NaNiAgTeS2 crystal (GGA-PBE).

Lattice parameters (Å, degrees): 7.6622 7.6622 10.4987 90.00 90.00 154.48
With the nearest neighbours (Å) after each atom.
Sites, in units of the cell vectors:
Na (0.7625, 0.2375, 0.2500)  2 Ag 2.96, 2 Te 3.13
Na (0.2375, 0.7625, 0.7500)  2 Ag 2.96, 2 Te 3.13
Ni (0.0000, 0.0000, 0.5000)  4 S 2.27
Ni (0.0000, 0.0000, 0.0000)  4 S 2.27
S (0.6004, 0.3996, 0.9778)  2 Ni 2.27, 1 Ag 2.42
S (0.6004, 0.3996, 0.5222)  2 Ni 2.27, 1 Ag 2.42
S (0.3996, 0.6004, 0.4778)  2 Ni 2.27, 1 Ag 2.42
S (0.3996, 0.6004, 0.0222)  2 Ni 2.27, 1 Ag 2.42
Ag (0.5754, 0.4246, 0.7500)  2 S 2.42
Ag (0.4246, 0.5754, 0.2500)  2 S 2.42
Te (0.0866, 0.9134, 0.2500)  2 Ni 2.93, 2 Ag 2.95, 2 Na 3.13
Te (0.9134, 0.0866, 0.7500)  2 Ni 2.93, 2 Ag 2.95, 2 Na 3.13

## Properties
Symmetry   No. 63
Electronic total energy   -3.752 eV per atom

***

What did the second record say?
Entry from OQMD: a relaxed NaNdAg3Se4 crystal (GGA-PBE).

Lattice parameters (Å, degrees): 6.4565 6.4565 6.4565 90.00 90.00 90.00
With the nearest neighbours (Å) after each atom.
Sites, in units of the cell vectors:
Nd (0.5000, 0.5000, 0.5000)  4 Se 2.77
Se (0.2526, 0.2526, 0.2526)  1 Nd 2.77, 3 Ag 2.79, 1 Na 2.82
Se (0.7474, 0.7474, 0.2526)  1 Nd 2.77, 3 Ag 2.79, 1 Na 2.82
Se (0.7474, 0.2526, 0.7474)  1 Nd 2.77, 3 Ag 2.79, 1 Na 2.82
Se (0.2526, 0.7474, 0.7474)  1 Nd 2.77, 3 Ag 2.79, 1 Na 2.82
Na (0.0000, 0.0000, 0.0000)  4 Se 2.82
Ag (0.5000, 0.5000, 0.0000)  4 Se 2.79
Ag (0.0000, 0.5000, 0.5000)  4 Se 2.79
Ag (0.5000, 0.0000, 0.5000)  4 Se 2.79

## Properties
Symmetry   No. 215
Electronic total energy   -3.788 eV per atom

***

Q: The highest electronic total energy belongs to which entry?
A: NaNiAgSe2S

***

Q: Look up the electronic total energy of the second one.
A: -3.788 eV per atom